one:
K3HfMo GGA-PBE optimized geometry; magnetic moment = 9.02 μB per formula unit; space group = No. 221; DOS at the Fermi energy = 0.9248 states/eV per atom
1.0
6.683 0.000 0.000
0.000 6.683 0.000
0.000 0.000 6.683
K Hf Mo
3 1 1
direct
0.000 0.000 0.500 K
0.000 0.500 0.000 K
0.500 0.000 0.000 K
0.000 0.000 0.000 Hf
0.500 0.500 0.500 Mo

two:
K3HfMo GGA-PBE optimized geometry; magnetic moment = 0.00 μB per formula unit; space group = No. 221; DOS at the Fermi energy = 2.1448 states/eV per atom
1.0
5.900 0.000 0.000
0.000 5.900 0.000
0.000 0.000 5.900
K Hf Mo
3 1 1
direct
0.000 0.000 0.500 K
0.000 0.500 0.000 K
0.500 0.000 0.000 K
0.500 0.500 0.500 Hf
0.000 0.000 0.000 Mo

Energies, relative to the best one, in kJ/mol of atoms: one 0.0; two 23.5.

one:
KHfSe2N GGA-PBE optimized geometry; magnetic moment = 1.73 μB per formula unit; space group = No. 123; DOS at the Fermi energy = 0.3703 states/eV per atom
1.0
5.340 0.000 0.000
0.000 5.340 0.000
0.000 0.000 4.249
K Hf Se N
1 1 2 1
direct
0.000 0.000 0.000 K
0.500 0.500 0.500 Hf
0.000 0.500 0.500 Se
0.500 0.000 0.500 Se
0.500 0.500 0.000 N

two:
KHfSe2N GGA-PBE optimized geometry; magnetic moment = 1.14 μB per formula unit; space group = No. 123; DOS at the Fermi energy = 0.7195 states/eV per atom
1.0
5.402 0.000 0.000
0.000 5.402 0.000
0.000 0.000 4.109
K Hf Se N
1 1 2 1
direct
0.000 0.000 0.000 K
0.500 0.500 0.500 Hf
0.000 0.500 0.000 Se
0.500 0.000 0.000 Se
0.000 0.000 0.500 N

Energies, relative to the best one, in kJ/mol of atoms: one 0.0; two 210.0.

one:
KHfSeN2 GGA-PBE optimized geometry; magnetic moment = 3.00 μB per formula unit; space group = No. 123; DOS at the Fermi energy = 0.3655 states/eV per atom
1.0
4.379 0.000 0.000
0.000 4.379 0.000
0.000 0.000 5.302
K Hf Se N
1 1 1 2
direct
0.000 0.000 0.000 K
0.500 0.500 0.500 Hf
0.500 0.500 0.000 Se
0.000 0.500 0.500 N
0.500 0.000 0.500 N

two:
KHfSeN2 GGA-PBE optimized geometry; magnetic moment = 0.52 μB per formula unit; space group = No. 123; DOS at the Fermi energy = 0.5939 states/eV per atom
1.0
4.152 0.000 0.000
0.000 4.152 0.000
0.000 0.000 5.351
K Hf Se N
1 1 1 2
direct
0.000 0.000 0.000 K
0.500 0.500 0.500 Hf
0.000 0.000 0.500 Se
0.000 0.500 0.000 N
0.500 0.000 0.000 N

Energies, relative to the best one, in kJ/mol of atoms: one 0.0; two 214.8.

one:
KHfTeN2 GGA-PBE optimized geometry; magnetic moment = 3.23 μB per formula unit; space group = No. 123; DOS at the Fermi energy = 0.7771 states/eV per atom
1.0
4.544 0.000 0.000
0.000 4.544 0.000
0.000 0.000 6.113
K Hf Te N
1 1 1 2
direct
0.000 0.000 0.000 K
0.500 0.500 0.500 Hf
0.000 0.000 0.500 Te
0.000 0.500 0.000 N
0.500 0.000 0.000 N

two:
KHfTeN2 GGA-PBE optimized geometry; magnetic moment = 2.98 μB per formula unit; space group = No. 123; DOS at the Fermi energy = 0.4939 states/eV per atom
1.0
4.430 0.000 0.000
0.000 4.430 0.000
0.000 0.000 5.713
K Hf Te N
1 1 1 2
direct
0.000 0.000 0.000 K
0.500 0.500 0.500 Hf
0.500 0.500 0.000 Te
0.000 0.500 0.500 N
0.500 0.000 0.500 N

Energies, relative to the best one, in kJ/mol of atoms: one 198.0; two 0.0.

one:
K2Na2Hf GGA-PBE optimized geometry; magnetic moment = 2.06 μB per formula unit; space group = No. 139; DOS at the Fermi energy = 0.9650 states/eV per atom
1.0
-2.022 2.022 12.785
2.022 -2.022 12.785
2.022 2.022 -12.785
K Na Hf
2 2 1
direct
0.106 0.106 0.000 K
0.894 0.894 0.000 K
0.250 0.750 0.500 Na
0.750 0.250 0.500 Na
0.500 0.500 0.000 Hf

two:
K2Na2Hf GGA-PBE optimized geometry; magnetic moment = 0.00 μB per formula unit; space group = No. 127; DOS at the Fermi energy = 1.3029 states/eV per atom
1.0
10.550 0.000 0.000
0.000 10.550 0.000
0.000 0.000 3.282
K Na Hf
4 4 2
direct
0.142 0.358 0.000 K
0.358 0.858 0.000 K
0.642 0.142 0.000 K
0.858 0.642 0.000 K
0.166 0.666 0.500 Na
0.334 0.166 0.500 Na
0.666 0.834 0.500 Na
0.834 0.334 0.500 Na
0.000 0.000 0.000 Hf
0.500 0.500 0.000 Hf

Energies, relative to the best one, in kJ/mol of atoms: one 3.9; two 0.0.

one:
KHf3Nb GGA-PBE optimized geometry; magnetic moment = 0.00 μB per formula unit; space group = No. 221; DOS at the Fermi energy = 1.4041 states/eV per atom
1.0
4.811 0.000 0.000
0.000 4.811 0.000
0.000 0.000 4.811
K Hf Nb
1 3 1
direct
0.000 0.000 0.000 K
0.000 0.000 0.500 Hf
0.000 0.500 0.000 Hf
0.500 0.000 0.000 Hf
0.500 0.500 0.500 Nb

two:
KHf3Nb GGA-PBE optimized geometry; magnetic moment = 0.00 μB per formula unit; space group = No. 221; DOS at the Fermi energy = 1.6466 states/eV per atom
1.0
5.272 0.000 0.000
0.000 5.272 0.000
0.000 0.000 5.272
K Hf Nb
1 3 1
direct
0.000 0.000 0.000 K
0.000 0.500 0.500 Hf
0.500 0.000 0.500 Hf
0.500 0.500 0.000 Hf
0.500 0.500 0.500 Nb

Energies, relative to the best one, in kJ/mol of atoms: one 108.9; two 0.0.

one:
KHf2Nb GGA-PBE optimized geometry; magnetic moment = 0.00 μB per formula unit; space group = No. 225; DOS at the Fermi energy = 1.4497 states/eV per atom
1.0
0.000 3.585 3.585
3.585 0.000 3.585
3.585 3.585 0.000
K Hf Nb
1 2 1
direct
0.000 0.000 0.000 K
0.250 0.250 0.250 Hf
0.750 0.750 0.750 Hf
0.500 0.500 0.500 Nb

two:
KHf2Nb GGA-PBE optimized geometry; magnetic moment = 0.00 μB per formula unit; space group = No. 141; DOS at the Fermi energy = 0.0467 states/eV per atom
1.0
-3.714 3.714 6.461
3.714 -3.714 6.461
3.714 3.714 -6.461
K Hf Nb
2 4 2
direct
0.375 0.625 0.750 K
0.625 0.375 0.250 K
0.000 0.000 0.000 Hf
0.000 0.000 0.500 Hf
0.000 0.500 0.000 Hf
0.500 0.000 0.500 Hf
0.125 0.875 0.250 Nb
0.875 0.125 0.750 Nb

Energies, relative to the best one, in kJ/mol of atoms: one 0.0; two 48.3.

one:
KHf2Ni GGA-PBE optimized geometry; magnetic moment = 0.00 μB per formula unit; space group = No. 141; DOS at the Fermi energy = 1.6029 states/eV per atom
1.0
-2.988 2.988 7.723
2.988 -2.988 7.723
2.988 2.988 -7.723
K Hf Ni
2 4 2
direct
0.375 0.625 0.750 K
0.625 0.375 0.250 K
0.000 0.000 0.000 Hf
0.000 0.000 0.500 Hf
0.000 0.500 0.000 Hf
0.500 0.000 0.500 Hf
0.125 0.875 0.250 Ni
0.875 0.125 0.750 Ni

two:
KHf2Ni GGA-PBE optimized geometry; magnetic moment = 0.00 μB per formula unit; space group = No. 225; DOS at the Fermi energy = 2.0081 states/eV per atom
1.0
0.000 3.405 3.405
3.405 0.000 3.405
3.405 3.405 0.000
K Hf Ni
1 2 1
direct
0.000 0.000 0.000 K
0.250 0.250 0.250 Hf
0.750 0.750 0.750 Hf
0.500 0.500 0.500 Ni

Energies, relative to the best one, in kJ/mol of atoms: one 17.3; two 0.0.

one:
KHfNi2 GGA-PBE optimized geometry; magnetic moment = 0.00 μB per formula unit; space group = No. 225; DOS at the Fermi energy = 0.6744 states/eV per atom
1.0
0.000 3.311 3.311
3.311 0.000 3.311
3.311 3.311 0.000
K Hf Ni
1 1 2
direct
0.000 0.000 0.000 K
0.500 0.500 0.500 Hf
0.250 0.250 0.250 Ni
0.750 0.750 0.750 Ni

two:
KHfNi2 GGA-PBE optimized geometry; magnetic moment = 0.00 μB per formula unit; space group = No. 122; DOS at the Fermi energy = 0.7291 states/eV per atom
1.0
-3.656 3.656 3.223
3.656 -3.656 3.223
3.656 3.656 -3.223
K Hf Ni
2 2 4
direct
0.000 0.000 0.000 K
0.750 0.250 0.500 K
0.250 0.750 0.500 Hf
0.500 0.500 0.000 Hf
0.174 0.625 0.049 Ni
0.375 0.424 0.549 Ni
0.576 0.125 0.951 Ni
0.875 0.826 0.451 Ni

Energies, relative to the best one, in kJ/mol of atoms: one 0.0; two 8.6.

one:
KHfNi3 GGA-PBE optimized geometry; magnetic moment = 0.00 μB per formula unit; space group = No. 221; DOS at the Fermi energy = 1.8603 states/eV per atom
1.0
4.478 0.000 0.000
0.000 4.478 0.000
0.000 0.000 4.478
K Hf Ni
1 1 3
direct
0.000 0.000 0.000 K
0.500 0.500 0.500 Hf
0.000 0.000 0.500 Ni
0.000 0.500 0.000 Ni
0.500 0.000 0.000 Ni

two:
KHfNi3 GGA-PBE optimized geometry; magnetic moment = 0.00 μB per formula unit; space group = No. 221; DOS at the Fermi energy = 0.7073 states/eV per atom
1.0
4.818 0.000 0.000
0.000 4.818 0.000
0.000 0.000 4.818
K Hf Ni
1 1 3
direct
0.000 0.000 0.000 K
0.500 0.500 0.500 Hf
0.000 0.500 0.500 Ni
0.500 0.000 0.500 Ni
0.500 0.500 0.000 Ni

Energies, relative to the best one, in kJ/mol of atoms: one 82.0; two 0.0.

one:
KHf2O4 GGA-PBE optimized geometry; magnetic moment = 0.00 μB per formula unit; space group = No. 139; DOS at the Fermi energy = 0.4227 states/eV per atom
1.0
-2.250 2.250 5.783
2.250 -2.250 5.783
2.250 2.250 -5.783
K Hf O
1 2 4
direct
0.000 0.000 0.000 K
0.379 0.379 0.000 Hf
0.621 0.621 0.000 Hf
0.000 0.500 0.500 O
0.225 0.225 0.000 O
0.500 0.000 0.500 O
0.775 0.775 0.000 O

two:
KHf2O4 GGA-PBE optimized geometry; magnetic moment = 0.00 μB per formula unit; space group = No. 63; DOS at the Fermi energy = 0.0883 states/eV per atom
1.0
1.636 -5.305 0.000
1.636 5.305 0.000
0.000 0.000 10.805
K Hf O
2 4 8
direct
0.117 0.883 0.750 K
0.883 0.117 0.250 K
0.371 0.629 0.568 Hf
0.371 0.629 0.932 Hf
0.629 0.371 0.068 Hf
0.629 0.371 0.432 Hf
0.000 0.000 0.000 O
0.000 0.000 0.500 O
0.256 0.744 0.096 O
0.256 0.744 0.404 O
0.419 0.581 0.750 O
0.581 0.419 0.250 O
0.744 0.256 0.596 O
0.744 0.256 0.904 O

Energies, relative to the best one, in kJ/mol of atoms: one 153.7; two 0.0.

one:
KHfPO2 GGA-PBE optimized geometry; magnetic moment = 1.01 μB per formula unit; space group = No. 123; DOS at the Fermi energy = 0.3869 states/eV per atom
1.0
4.229 0.000 0.000
0.000 4.229 0.000
0.000 0.000 4.875
K Hf P O
1 1 1 2
direct
0.000 0.000 0.000 K
0.500 0.500 0.500 Hf
0.000 0.000 0.500 P
0.000 0.500 0.000 O
0.500 0.000 0.000 O

two:
KHfPO2 GGA-PBE optimized geometry; magnetic moment = 1.99 μB per formula unit; space group = No. 123; DOS at the Fermi energy = 0.3759 states/eV per atom
1.0
4.190 0.000 0.000
0.000 4.190 0.000
0.000 0.000 5.326
K Hf P O
1 1 1 2
direct
0.000 0.000 0.000 K
0.500 0.500 0.500 Hf
0.500 0.500 0.000 P
0.000 0.500 0.500 O
0.500 0.000 0.500 O

Energies, relative to the best one, in kJ/mol of atoms: one 218.8; two 0.0.